{
  "formula": "Pm3Si2Ni3",
  "functional": "PBE",
  "state": "relaxed",
  "cell": [[5.8125, 0.0000, 0.0000], [0.0000, 7.4045, 0.0000], [0.0000, 0.0000, 14.3814]],
  "species": ["Pm", "Pm", "Pm", "Pm", "Pm", "Pm", "Pm", "Pm", "Pm", "Pm", "Pm", "Pm", "Si", "Si", "Si", "Si", "Si", "Si", "Si", "Si", "Ni", "Ni", "Ni", "Ni", "Ni", "Ni", "Ni", "Ni", "Ni", "Ni", "Ni", "Ni"],
  "fractional_positions": [[0.1430, 0.4912, 0.3915], [0.6430, 0.0088, 0.6085], [0.8570, 0.5088, 0.8915], [0.3570, 0.9912, 0.1085], [0.8570, 0.5088, 0.6085], [0.3570, 0.9912, 0.3915], [0.1430, 0.4912, 0.1085], [0.6430, 0.0088, 0.8915], [0.6248, 0.3612, 0.2500], [0.1248, 0.1388, 0.7500], [0.3752, 0.6388, 0.7500], [0.8752, 0.8612, 0.2500], [0.8584, 0.1483, 0.4068], [0.3584, 0.3517, 0.5932], [0.1416, 0.8517, 0.9068], [0.6416, 0.6483, 0.0932], [0.1416, 0.8517, 0.5932], [0.6416, 0.6483, 0.4068], [0.8584, 0.1483, 0.0932], [0.3584, 0.3517, 0.9068], [0.0699, 0.2054, 0.2500], [0.5699, 0.2946, 0.7500], [0.9301, 0.7946, 0.7500], [0.4301, 0.7054, 0.2500], [0.5978, 0.3537, 0.4619], [0.0978, 0.1463, 0.5381], [0.4022, 0.6463, 0.9619], [0.9022, 0.8537, 0.0381], [0.4022, 0.6463, 0.5381], [0.9022, 0.8537, 0.4619], [0.5978, 0.3537, 0.0381], [0.0978, 0.1463, 0.9619]],
  "raw_formation_energy_ev_per_atom": -0.648
}



{
  "formula": "Na2TmGaS4",
  "functional": "PBE",
  "state": "relaxed",
  "cell": [[7.7683, -0.0464, -0.1699], [-0.0518, 7.7682, -0.1699], [-3.9200, -3.9227, 5.6309]],
  "species": ["Na", "Na", "Na", "Na", "Tm", "Tm", "Ga", "Ga", "S", "S", "S", "S", "S", "S", "S", "S"],
  "fractional_positions": [[0.5000, 0.0000, 0.0000], [0.5000, 0.0000, 0.5000], [0.0000, 0.0000, 0.5000], [0.5000, 0.5000, 0.0000], [0.0000, 0.5000, 0.0000], [0.0000, 0.5000, 0.5000], [0.5000, 0.5000, 0.5000], [0.0000, 0.0000, 0.0000], [0.2306, 0.7513, 0.9909], [0.7487, 0.2694, 0.5091], [0.2513, 0.7306, 0.4909], [0.7694, 0.2487, 0.0091], [0.7541, 0.7465, 0.9638], [0.7535, 0.7459, 0.5362], [0.2465, 0.2541, 0.4638], [0.2459, 0.2535, 0.0362]],
  "raw_formation_energy_ev_per_atom": -1.279
}



{
  "formula": "Li6Ag5Sn",
  "functional": "PBE",
  "state": "relaxed",
  "cell": [[4.0967, 0.0025, -1.1444], [-2.9448, 6.5160, -2.6679], [-0.0645, -0.2278, 7.6284]],
  "species": ["Sn", "Ag", "Ag", "Ag", "Ag", "Ag", "Li", "Li", "Li", "Li", "Li", "Li"],
  "fractional_positions": [[0.0000, 0.0000, 0.0000], [0.5000, 0.1649, 0.8351], [0.0000, 0.3294, 0.6706], [0.5000, 0.5000, 0.5000], [0.0000, 0.6706, 0.3294], [0.5000, 0.8351, 0.1649], [0.2566, 0.0896, 0.4240], [0.7434, 0.5760, 0.9104], [0.7637, 0.2638, 0.2638], [0.2363, 0.7362, 0.7362], [0.2566, 0.4240, 0.0896], [0.7434, 0.9104, 0.5760]],
  "formation_enthalpy_0k_mev_per_atom": -242,
  "polymorph_energy_ev_per_atom": 0.004
}



Number 1: DFT total energy -5.95 eV/atom. Number 2: DFT total energy -4.61 eV/atom. Number 3: DFT total energy -2.72 eV/atom.